Below is a relaxed RbSiSnS4 crystal, with properties calculated at the PBE-GGA level.

Space-group type: P2_1/m (11)

Cell: 6.347 6.853 9.168 Å, 90.00 109.09 90.00°
Positions (direct):
Rb 0.218 0.250 0.435
Rb 0.782 0.750 0.565
Si 0.271 0.750 0.163
Si 0.729 0.250 0.837
Sn 0.283 0.250 0.968
Sn 0.717 0.750 0.032
S 0.059 0.750 0.930
S 0.067 0.750 0.306
S 0.496 0.506 0.207
S 0.496 0.994 0.207
S 0.504 0.006 0.793
S 0.504 0.494 0.793
S 0.933 0.250 0.694
S 0.941 0.250 0.070

***

Below is a relaxed Pu4Mn2Pd crystal, with properties calculated at the PBE-GGA level.

Formation energy (eV/atom): 0.03
Space-group type: I-42d (122)

Cell: 7.270 7.270 7.270 Å, 109.18 109.18 110.05°
Positions (direct):
Pu 0.106 0.509 0.743
Pu 0.114 0.017 0.757
Pu 0.259 0.356 0.243
Pu 0.491 0.233 0.597
Pu 0.636 0.894 0.403
Pu 0.644 0.886 0.903
Pu 0.767 0.364 0.257
Pu 0.983 0.741 0.097
Mn 0.017 0.125 0.392
Mn 0.375 0.983 0.108
Mn 0.733 0.625 0.608
Mn 0.875 0.267 0.892
Pd 0.250 0.750 0.500
Pd 0.500 0.500 0.000

***

Below is a relaxed AlRe2H crystal, with properties calculated at the PBE-GGA level.

ΔE to the lowest computed polymorph (eV per atom): 0.0000
Space-group type: I-42d (122)

Cell: 5.038 5.038 5.038 Å, 106.08 106.08 116.48°
Positions (direct):
Al 0.000 0.000 0.000
Al 0.750 0.250 0.500
Re 0.236 0.625 0.111
Re 0.375 0.486 0.611
Re 0.514 0.125 0.889
Re 0.875 0.764 0.389
H 0.250 0.750 0.500
H 0.500 0.500 0.000

***

Below is a relaxed NbGa2HCl crystal, with properties calculated at the PBE-GGA level.

ΔE to the lowest computed polymorph (eV per atom): 0.1472
Space-group type: P4/mmm (123)

Cell: 5.351 5.351 2.931 Å, 90.00 90.00 90.00°
Positions (direct):
Nb 0.000 0.000 0.000
Ga 0.000 0.500 0.500
Ga 0.500 0.000 0.500
H 0.500 0.500 0.000
Cl 0.500 0.500 0.500

***

Below is a relaxed SrMg2InAu2 crystal, with properties calculated at the PBE-GGA level.

Formation energy (eV/atom): -0.53
Space-group type: P-3m1 (164)

Cell: 4.751 4.751 7.330 Å, 90.00 90.00 120.00°
Positions (direct):
Sr 0.000 0.000 0.000
Mg 0.333 0.667 0.675
Mg 0.667 0.333 0.325
In 0.000 0.000 0.500
Au 0.333 0.667 0.278
Au 0.667 0.333 0.722

***

Below is a relaxed SmMgCo crystal, with properties calculated at the PBE-GGA level.

Formation energy (eV/atom): 0.10
Space-group type: F-43m (216)

Cell: 4.583 4.583 4.583 Å, 60.00 60.00 60.00°
Positions (direct):
Sm 0.000 0.000 0.000
Mg 0.500 0.500 0.500
Co 0.750 0.750 0.750

***

Below is a relaxed Pr6Rh2SBr3 crystal, with properties calculated at the PBE-GGA level.

Space-group type: C2/m (12)

Cell: 7.288 7.288 8.044 Å, 98.65 98.65 119.92°
Positions (direct):
Pr 0.087 0.433 0.800
Pr 0.219 0.219 0.198
Pr 0.433 0.087 0.800
Pr 0.567 0.913 0.200
Pr 0.781 0.781 0.802
Pr 0.913 0.567 0.200
Rh 0.167 0.833 0.000
Rh 0.833 0.167 0.000
S 0.500 0.500 0.000
Br 0.000 0.000 0.500
Br 0.337 0.663 0.500
Br 0.663 0.337 0.500

***

Below is a relaxed Cs2AlBF6 crystal, with properties calculated at the PBE-GGA level.

Space-group type: I4/mmm (139)

Cell: 6.450 6.450 6.450 Å, 125.88 125.88 80.08°
Positions (direct):
Cs 0.250 0.750 0.500
Cs 0.750 0.250 0.500
Al 0.000 0.000 0.000
B 0.500 0.500 0.000
F 0.183 0.183 0.000
F 0.227 0.227 0.454
F 0.227 0.773 0.000
F 0.773 0.227 0.000
F 0.773 0.773 0.546
F 0.817 0.817 0.000

***

Below is a relaxed Na2LaNdS4 crystal, with properties calculated at the PBE-GGA level.

Space-group type: P2/m (10)

Cell: 7.097 4.182 7.244 Å, 90.00 109.91 90.00°
Positions (direct):
Na 0.000 0.000 0.000
Na 0.000 0.500 0.500
La 0.500 0.000 0.500
Nd 0.500 0.500 0.000
S 0.266 0.500 0.252
S 0.267 0.000 0.759
S 0.733 0.000 0.241
S 0.734 0.500 0.748

***

Below is a relaxed Ba2SrTcN4 crystal, with properties calculated at the PBE-GGA level.

Space-group type: Pmn2_1 (31)

Cell: 8.138 7.489 5.777 Å, 90.00 90.00 90.00°
Positions (direct):
Ba 0.244 0.163 0.000
Ba 0.256 0.837 0.500
Ba 0.744 0.837 0.500
Ba 0.756 0.163 0.000
Sr 0.000 0.365 0.511
Sr 0.500 0.635 0.011
Tc 0.000 0.660 0.052
Tc 0.500 0.340 0.552
N 0.000 0.419 0.973
N 0.000 0.665 0.370
N 0.191 0.777 0.968
N 0.309 0.223 0.468
N 0.500 0.335 0.870
N 0.500 0.581 0.473
N 0.691 0.223 0.468
N 0.809 0.777 0.968

***

Below is a relaxed Ce4Pr2Ge3H2 crystal, with properties calculated at the PBE-GGA level.

Space-group type: I4/mmm (139)

Cell: 12.767 12.767 12.767 Å, 159.56 159.56 29.06°
Positions (direct):
Ce 0.080 0.580 0.500
Ce 0.420 0.920 0.500
Ce 0.580 0.080 0.500
Ce 0.920 0.420 0.500
Pr 0.203 0.203 0.000
Pr 0.797 0.797 0.000
Ge 0.330 0.330 0.000
Ge 0.500 0.500 0.000
Ge 0.670 0.670 0.000
H 0.106 0.106 0.000
H 0.894 0.894 0.000

***

Below is a relaxed CsBaPt crystal, with properties calculated at the PBE-GGA level.

Formation energy (eV/atom): -0.11
Space-group type: P-6m2 (187)

Cell: 4.569 4.569 16.948 Å, 90.00 90.00 120.00°
Positions (direct):
Cs 0.000 0.000 0.117
Cs 0.000 0.000 0.883
Ba 0.333 0.667 0.391
Ba 0.333 0.667 0.609
Pt 0.000 0.000 0.500
Pt 0.333 0.667 0.000

***

no.,E (eV/f.u.)
1,-31.998
2,-80.638
3,-30.705
4,-19.472
5,-17.333
6,-13.112
7,-67.159
8,-47.274
9,-43.442
10,-53.782
11,-60.001
12,-9.140